[1]
# PBE CuMoRu2, relaxed
# Total magnetization   0.00 μB/cell
# Crystal system   orthorhombic
# Calculated volume   56 Å³/f.u.
# Symmetry   Pmm2 (25)
# E above lowest polymorph   0.08 eV/f.u.
data_CuMoRu2
_chemical_formula_sum 'Cu1 Mo1 Ru2'
_symmetry_space_group_name_H-M 'P 1'
_symmetry_Int_Tables_number 1
_symmetry_space_group_name_Hall 'P 1'
_cell_length_a 2.7155
_cell_length_b 3.8987
_cell_length_c 5.2880
_cell_angle_alpha 90.00
_cell_angle_beta 90.00
_cell_angle_gamma 90.00
loop_
_atom_site_label
_atom_site_fract_x
_atom_site_fract_y
_atom_site_fract_z
Cu1 0.0000 0.0000 0.4944
Mo1 0.5000 0.5000 0.7433
Ru1 0.0000 0.0000 0.0018
Ru2 0.5000 0.5000 0.2605

---

[2]
# PBE CuMoRu2, relaxed
# Total magnetization   0.00 μB/cell
# Crystal system   trigonal
# Calculated volume   57 Å³/f.u.
# Symmetry   R3m (160)
# E above lowest polymorph   0.38 eV/f.u.
data_CuMoRu2
_chemical_formula_sum 'Cu1 Mo1 Ru2'
_symmetry_space_group_name_H-M 'P 1'
_symmetry_Int_Tables_number 1
_symmetry_space_group_name_Hall 'P 1'
_cell_length_a 8.9934
_cell_length_b 8.9934
_cell_length_c 8.9934
_cell_angle_alpha 17.42
_cell_angle_beta 17.42
_cell_angle_gamma 17.42
loop_
_atom_site_label
_atom_site_fract_x
_atom_site_fract_y
_atom_site_fract_z
Cu1 0.5016 0.5016 0.5016
Mo1 0.7495 0.7495 0.7495
Ru1 0.9983 0.9983 0.9983
Ru2 0.2505 0.2505 0.2505

---

[3]
# PBE CuMoRu2, relaxed
# Total magnetization   0.00 μB/cell
# Crystal system   cubic
# Calculated volume   57 Å³/f.u.
# Symmetry   F-43m (216)
# E above lowest polymorph   1.11 eV/f.u.
data_CuMoRu2
_chemical_formula_sum 'Cu1 Mo1 Ru2'
_symmetry_space_group_name_H-M 'P 1'
_symmetry_Int_Tables_number 1
_symmetry_space_group_name_Hall 'P 1'
_cell_length_a 4.3174
_cell_length_b 4.3174
_cell_length_c 4.3174
_cell_angle_alpha 60.00
_cell_angle_beta 60.00
_cell_angle_gamma 60.00
loop_
_atom_site_label
_atom_site_fract_x
_atom_site_fract_y
_atom_site_fract_z
Cu1 0.5000 0.5000 0.5000
Mo1 0.7500 0.7500 0.7500
Ru1 0.0000 0.0000 0.0000
Ru2 0.2500 0.2500 0.2500

---

[4]
# PBE CuMoRu2, relaxed
# Total magnetization   0.00 μB/cell
# Crystal system   orthorhombic
# Calculated volume   58 Å³/f.u.
# Symmetry   Cmmm (65)
# E above lowest polymorph   0.72 eV/f.u.
data_CuMoRu2
_chemical_formula_sum 'Cu1 Mo1 Ru2'
_symmetry_space_group_name_H-M 'P 1'
_symmetry_Int_Tables_number 1
_symmetry_space_group_name_Hall 'P 1'
_cell_length_a 2.6659
_cell_length_b 2.6659
_cell_length_c 8.8495
_cell_angle_alpha 90.00
_cell_angle_beta 90.00
_cell_angle_gamma 113.71
loop_
_atom_site_label
_atom_site_fract_x
_atom_site_fract_y
_atom_site_fract_z
Cu1 0.5000 0.5000 0.2500
Mo1 0.5000 0.5000 0.7500
Ru1 0.0000 0.0000 0.0007
Ru2 0.0000 0.0000 0.4993

---

[5]
# PBE CuMoRu3, relaxed
# Total magnetization   0.00 μB/cell
# Crystal system   cubic
# Calculated volume   83 Å³/f.u.
# Symmetry   Pm-3m (221)
# E above lowest polymorph   0.00 eV/f.u.
data_CuMoRu3
_chemical_formula_sum 'Cu1 Mo1 Ru3'
_symmetry_space_group_name_H-M 'P 1'
_symmetry_Int_Tables_number 1
_symmetry_space_group_name_Hall 'P 1'
_cell_length_a 4.3615
_cell_length_b 4.3615
_cell_length_c 4.3615
_cell_angle_alpha 90.00
_cell_angle_beta 90.00
_cell_angle_gamma 90.00
loop_
_atom_site_label
_atom_site_fract_x
_atom_site_fract_y
_atom_site_fract_z
Ru1 0.0000 0.5000 0.0000
Ru2 0.0000 0.0000 0.5000
Ru3 0.5000 0.0000 0.0000
Mo1 0.5000 0.5000 0.5000
Cu1 0.0000 0.0000 0.0000

---

[6]
# PBE Cu2MoRu, relaxed
# Total magnetization   0.00 μB/cell
# Crystal system   tetragonal
# Calculated volume   54 Å³/f.u.
# Symmetry   P4/mmm (123)
# E_tot   -6.84 eV per atom
data_Cu2MoRu
_chemical_formula_sum 'Cu2 Mo1 Ru1'
_symmetry_space_group_name_H-M 'P 1'
_symmetry_Int_Tables_number 1
_symmetry_space_group_name_Hall 'P 1'
_cell_length_a 3.6272
_cell_length_b 3.6267
_cell_length_c 4.1272
_cell_angle_alpha 90.00
_cell_angle_beta 90.00
_cell_angle_gamma 90.00
loop_
_atom_site_label
_atom_site_fract_x
_atom_site_fract_y
_atom_site_fract_z
Cu1 0.0000 0.0000 0.0000
Cu2 0.5000 0.5000 0.0000
Mo1 0.5000 0.0000 0.5000
Ru1 0.0000 0.5000 0.5000

---

[7]
# PBE CuMo3Ru, relaxed
# Total magnetization   0.00 μB/cell
# Crystal system   cubic
# Calculated volume   88 Å³/f.u.
# Symmetry   Pm-3m (221)
# E above lowest polymorph   0.00 eV/f.u.
data_CuMo3Ru
_chemical_formula_sum 'Cu1 Mo3 Ru1'
_symmetry_space_group_name_H-M 'P 1'
_symmetry_Int_Tables_number 1
_symmetry_space_group_name_Hall 'P 1'
_cell_length_a 4.4458
_cell_length_b 4.4458
_cell_length_c 4.4458
_cell_angle_alpha 90.00
_cell_angle_beta 90.00
_cell_angle_gamma 90.00
loop_
_atom_site_label
_atom_site_fract_x
_atom_site_fract_y
_atom_site_fract_z
Ru1 0.5000 0.5000 0.5000
Mo1 0.0000 0.5000 0.0000
Mo2 0.0000 0.0000 0.5000
Mo3 0.5000 0.0000 0.0000
Cu1 0.0000 0.0000 0.0000

---

[8]
# PBE Cu2MoRu, relaxed
# Total magnetization   0.00 μB/cell
# Crystal system   trigonal
# Calculated volume   55 Å³/f.u.
# Symmetry   R3m (160)
# E_tot   -6.93 eV per atom
data_Cu2MoRu
_chemical_formula_sum 'Cu2 Mo1 Ru1'
_symmetry_space_group_name_H-M 'P 1'
_symmetry_Int_Tables_number 1
_symmetry_space_group_name_Hall 'P 1'
_cell_length_a 8.8146
_cell_length_b 8.8146
_cell_length_c 8.8146
_cell_angle_alpha 17.70
_cell_angle_beta 17.70
_cell_angle_gamma 17.70
loop_
_atom_site_label
_atom_site_fract_x
_atom_site_fract_y
_atom_site_fract_z
Cu1 0.9979 0.9979 0.9979
Cu2 0.2535 0.2535 0.2535
Mo1 0.4989 0.4989 0.4989
Ru1 0.7497 0.7497 0.7497

---

[9]
# PBE Cu2MoRu, relaxed
# Total magnetization   0.00 μB/cell
# Crystal system   cubic
# Calculated volume   55 Å³/f.u.
# Symmetry   F-43m (216)
# E_tot   -6.80 eV per atom
data_Cu2MoRu
_chemical_formula_sum 'Cu2 Mo1 Ru1'
_symmetry_space_group_name_H-M 'P 1'
_symmetry_Int_Tables_number 1
_symmetry_space_group_name_Hall 'P 1'
_cell_length_a 4.2653
_cell_length_b 4.2653
_cell_length_c 4.2653
_cell_angle_alpha 60.00
_cell_angle_beta 60.00
_cell_angle_gamma 60.00
loop_
_atom_site_label
_atom_site_fract_x
_atom_site_fract_y
_atom_site_fract_z
Cu1 0.0000 0.0000 0.0000
Cu2 0.2500 0.2500 0.2500
Mo1 0.5000 0.5000 0.5000
Ru1 0.7500 0.7500 0.7500

---

[10]
# PBE Cu2MoRu, relaxed
# Total magnetization   0.00 μB/cell
# Crystal system   tetragonal
# Calculated volume   54 Å³/f.u.
# Symmetry   I-4m2 (119)
# E_tot   -6.93 eV per atom
data_Cu2MoRu
_chemical_formula_sum 'Cu2 Mo1 Ru1'
_symmetry_space_group_name_H-M 'P 1'
_symmetry_Int_Tables_number 1
_symmetry_space_group_name_Hall 'P 1'
_cell_length_a 4.6253
_cell_length_b 4.6253
_cell_length_c 4.6253
_cell_angle_alpha 131.94
_cell_angle_beta 131.85
_cell_angle_gamma 70.39
loop_
_atom_site_label
_atom_site_fract_x
_atom_site_fract_y
_atom_site_fract_z
Cu1 0.9999 0.9999 0.0000
Cu2 0.7501 0.2501 0.5000
Mo1 0.5000 0.5000 0.0000
Ru1 0.2500 0.7500 0.5000

---

[11]
# PBE CuMoRu2, relaxed
# Total magnetization   0.00 μB/cell
# Crystal system   orthorhombic
# Calculated volume   56 Å³/f.u.
# Symmetry   Cmmm (65)
# E above lowest polymorph   0.45 eV/f.u.
data_CuMoRu2
_chemical_formula_sum 'Cu1 Mo1 Ru2'
_symmetry_space_group_name_H-M 'P 1'
_symmetry_Int_Tables_number 1
_symmetry_space_group_name_Hall 'P 1'
_cell_length_a 4.6046
_cell_length_b 4.6046
_cell_length_c 2.7751
_cell_angle_alpha 90.00
_cell_angle_beta 90.00
_cell_angle_gamma 106.37
loop_
_atom_site_label
_atom_site_fract_x
_atom_site_fract_y
_atom_site_fract_z
Cu1 0.5000 0.0000 0.5000
Mo1 0.0000 0.5000 0.5000
Ru1 0.0000 0.0000 0.0000
Ru2 0.5000 0.5000 0.0000

---

[12]
# PBE CuMoRu2, relaxed
# Total magnetization   0.00 μB/cell
# Crystal system   orthorhombic
# Calculated volume   56 Å³/f.u.
# Symmetry   Pmmm (47)
# E above lowest polymorph   0.04 eV/f.u.
data_CuMoRu2
_chemical_formula_sum 'Cu1 Mo1 Ru2'
_symmetry_space_group_name_H-M 'P 1'
_symmetry_Int_Tables_number 1
_symmetry_space_group_name_Hall 'P 1'
_cell_length_a 2.7854
_cell_length_b 3.6694
_cell_length_c 5.4945
_cell_angle_alpha 90.00
_cell_angle_beta 90.00
_cell_angle_gamma 90.00
loop_
_atom_site_label
_atom_site_fract_x
_atom_site_fract_y
_atom_site_fract_z
Cu1 0.5000 0.5000 0.2500
Mo1 0.5000 0.5000 0.7500
Ru1 0.0000 0.0000 0.0120
Ru2 0.0000 0.0000 0.4880

---

[13]
# PBE CuMoRu2, relaxed
# Total magnetization   0.00 μB/cell
# Crystal system   monoclinic
# Calculated volume   56 Å³/f.u.
# Symmetry   Cm (8)
# E above lowest polymorph   0.27 eV/f.u.
data_CuMoRu2
_chemical_formula_sum 'Cu1 Mo1 Ru2'
_symmetry_space_group_name_H-M 'P 1'
_symmetry_Int_Tables_number 1
_symmetry_space_group_name_Hall 'P 1'
_cell_length_a 4.7467
_cell_length_b 4.7467
_cell_length_c 4.6221
_cell_angle_alpha 80.61
_cell_angle_beta 80.61
_cell_angle_gamma 33.38
loop_
_atom_site_label
_atom_site_fract_x
_atom_site_fract_y
_atom_site_fract_z
Cu1 0.4981 0.4981 0.5026
Mo1 0.2510 0.2510 0.2474
Ru1 0.0062 0.0062 0.9962
Ru2 0.7447 0.7447 0.7538

---

[14]
# PBE CuMoRu2, relaxed
# Total magnetization   0.00 μB/cell
# Crystal system   monoclinic
# Calculated volume   56 Å³/f.u.
# Symmetry   C2/m (12)
# E above lowest polymorph   0.12 eV/f.u.
data_CuMoRu2
_chemical_formula_sum 'Cu1 Mo1 Ru2'
_symmetry_space_group_name_H-M 'P 1'
_symmetry_Int_Tables_number 1
_symmetry_space_group_name_Hall 'P 1'
_cell_length_a 4.5900
_cell_length_b 4.5900
_cell_length_c 4.7809
_cell_angle_alpha 81.16
_cell_angle_beta 81.16
_cell_angle_gamma 34.49
loop_
_atom_site_label
_atom_site_fract_x
_atom_site_fract_y
_atom_site_fract_z
Cu1 0.7500 0.7500 0.7500
Mo1 0.2500 0.2500 0.2500
Ru1 0.9999 0.9999 0.9871
Ru2 0.5001 0.5001 0.5129

---

[15]
# PBE CuMo2RuSe, relaxed
# Total magnetization   2.90 μB/cell
# Crystal system   tetragonal
# Calculated volume   92 Å³/f.u.
# Symmetry   P4/mmm (123)
# Raw formation energy   1331 meV/atom
data_CuMo2RuSe
_chemical_formula_sum 'Cu1 Mo2 Ru1 Se1'
_symmetry_space_group_name_H-M 'P 1'
_symmetry_Int_Tables_number 1
_symmetry_space_group_name_Hall 'P 1'
_cell_length_a 4.6228
_cell_length_b 4.2923
_cell_length_c 4.6228
_cell_angle_alpha 90.00
_cell_angle_beta 90.00
_cell_angle_gamma 90.00
loop_
_atom_site_label
_atom_site_fract_x
_atom_site_fract_y
_atom_site_fract_z
Ru1 0.5000 0.5000 0.5000
Mo1 0.0000 0.0000 0.5000
Mo2 0.5000 0.0000 0.0000
Cu1 0.0000 0.5000 0.0000
Se1 0.0000 0.0000 0.0000